# 1
KCa4Mn: optimized geometry, PBEsol.

Values from the calculation:
* formation energy: 0.66 eV/atom

Cell lengths 7.0429, 7.0429, 7.0429 Å; angles 60.00, 60.00, 60.00 degrees
With the nearest neighbours (Å) after each atom.
Element x y z (fractional)
1 Ca 0.3740 0.3740 0.3740  6 Ca 3.49-3.55
2 Ca 0.3740 0.3740 0.8781  6 Ca 3.49-3.55
3 Ca 0.8781 0.3740 0.3740  6 Ca 3.49-3.55
4 Ca 0.3740 0.8781 0.3740  6 Ca 3.49-3.55
5 K 0.7500 0.7500 0.7500  12 Ca 4.13, 4 Mn 4.31
6 Mn 0.0000 0.0000 0.0000  12 Ca 4.13, 4 K 4.31



# 2
KCaMn: optimized geometry, PBEsol.

Values from the calculation:
* formation energy: 0.75 eV/atom

Cell lengths 3.7004, 3.7004, 8.0976 Å; angles 103.21, 103.21, 90.00 degrees
With the nearest neighbours (Å) after each atom.
Element x y z (fractional)
1 Ca 0.9606 0.9606 0.9211  4 Mn 3.11
2 K 0.6888 0.6888 0.3776  4 Mn 3.61, 4 K 3.70
3 Mn 0.3507 0.3507 0.7013  4 Ca 3.11



# 3
KCaMn: optimized geometry, PBEsol.

Values from the calculation:
* formation energy: 1.03 eV/atom

Cell lengths 5.5329, 5.5329, 5.5329 Å; angles 60.00, 60.00, 60.00 degrees
With the nearest neighbours (Å) after each atom.
Element x y z (fractional)
1 Ca 0.0000 0.0000 0.0000  4 Mn 3.39
2 K 0.5000 0.5000 0.5000  4 Mn 3.39
3 Mn 0.2500 0.2500 0.2500  4 K 3.39, 4 Ca 3.39



# 4
KCaMnTc2: optimized geometry, PBEsol.

Values from the calculation:
* formation energy: 1.24 eV/atom

Cell lengths 4.4394, 4.4394, 5.4195 Å; angles 90.00, 90.00, 90.00 degrees
With the nearest neighbours (Å) after each atom.
Element x y z (fractional)
1 K 0.0000 0.0000 0.5000  2 Mn 2.71
2 Ca 0.5000 0.5000 0.5000  4 K 3.14, 8 Tc 3.50
3 Mn 0.0000 0.0000 0.0000  4 Tc 2.22
4 Tc 0.0000 0.5000 0.0000  2 Mn 2.22
5 Tc 0.5000 0.0000 0.0000  2 Mn 2.22



# 5
KCaMo2: optimized geometry, PBEsol.

Values from the calculation:
* formation energy: 1.30 eV/atom

Cell lengths 3.4572, 4.1257, 5.5720 Å; angles 90.00, 90.00, 90.00 degrees
With the nearest neighbours (Å) after each atom.
Element x y z (fractional)
1 Ca 0.5000 0.0000 0.5000  4 K 2.69
2 K 0.0000 0.5000 0.5000  4 Ca 2.69
3 Mo 0.0000 0.0000 0.0000  4 Mo 2.69
4 Mo 0.5000 0.5000 0.0000  4 Mo 2.69



# 6
KCa2Mo: optimized geometry, PBEsol.

Values from the calculation:
* formation energy: 1.02 eV/atom

Cell lengths 3.7235, 4.4012, 9.0174 Å; angles 90.00, 90.01, 90.00 degrees
With the nearest neighbours (Å) after each atom.
Element x y z (fractional)
1 Ca 0.9997 0.0000 0.9381  4 Mo 3.02
2 Ca 0.5003 0.5000 0.1803  1 Mo 3.10
3 K 0.0005 0.0000 0.5446  1 Ca 3.55, 2 K 3.72, 4 Mo 3.90-3.91
4 Mo 0.4994 0.5000 0.8370  5 Ca 3.02-3.10